[1]
# Co2HgPOs

A relaxed Co2HgPOs crystal (PBE, Alexandria).

Geometry as CIF:
```
data_Co2HgPOs
_cell_length_a 4.714
_cell_length_b 4.714
_cell_length_c 4.624
_cell_angle_alpha 90.00
_cell_angle_beta 90.00
_cell_angle_gamma 90.00
_symmetry_space_group_name_H-M 'P 4/m m m'
_symmetry_Int_Tables_number 123
_symmetry_space_group_name_Hall '-P 4 2'
loop_
_atom_site_label
_atom_site_fract_x
_atom_site_fract_y
_atom_site_fract_z
Co1 0.000 0.500 0.000
Hg1 0.000 0.000 0.000
P1 0.000 0.000 0.500
Os1 0.500 0.500 0.500
```

Properties
Calculated formation energy ... 11.649 eV/f.u.
Calculated density ... 8.72 g/cm³

[2]
# VCo2HgOs

A relaxed VCo2HgOs crystal (PBE, Alexandria).

Geometry as CIF:
```
data_VCo2HgOs
_cell_length_a 4.537
_cell_length_b 4.537
_cell_length_c 4.756
_cell_angle_alpha 90.00
_cell_angle_beta 90.00
_cell_angle_gamma 90.00
_symmetry_space_group_name_H-M 'P 4/m m m'
_symmetry_Int_Tables_number 123
_symmetry_space_group_name_Hall '-P 4 2'
loop_
_atom_site_label
_atom_site_fract_x
_atom_site_fract_y
_atom_site_fract_z
V1 0.000 0.000 0.000
Co1 0.000 0.500 0.500
Hg1 0.000 0.000 0.500
Os1 0.500 0.500 0.000
```

Properties
Calculated formation energy ... 12.041 eV/f.u.
Calculated density ... 9.49 g/cm³

[3]
# ZnCoHgOs2

A relaxed ZnCoHgOs2 crystal (PBE, Alexandria).

Geometry as CIF:
```
data_ZnCoHgOs2
_cell_length_a 4.450
_cell_length_b 4.450
_cell_length_c 4.471
_cell_angle_alpha 90.00
_cell_angle_beta 90.00
_cell_angle_gamma 90.00
_symmetry_space_group_name_H-M 'P 4/m m m'
_symmetry_Int_Tables_number 123
_symmetry_space_group_name_Hall '-P 4 2'
loop_
_atom_site_label
_atom_site_fract_x
_atom_site_fract_y
_atom_site_fract_z
Zn1 0.000 0.000 0.000
Co1 0.000 0.000 0.500
Hg1 0.500 0.500 0.000
Os1 0.000 0.500 0.500
```

Properties
Calculated formation energy ... 6.611 eV/f.u.
Calculated density ... 13.23 g/cm³

[4]
# ZrCoHg2Os

A relaxed ZrCoHg2Os crystal (PBE, Alexandria).

Geometry as CIF:
```
data_ZrCoHg2Os
_cell_length_a 4.770
_cell_length_b 4.770
_cell_length_c 4.510
_cell_angle_alpha 90.00
_cell_angle_beta 90.00
_cell_angle_gamma 90.00
_symmetry_space_group_name_H-M 'P 4/m m m'
_symmetry_Int_Tables_number 123
_symmetry_space_group_name_Hall '-P 4 2'
loop_
_atom_site_label
_atom_site_fract_x
_atom_site_fract_y
_atom_site_fract_z
Zr1 0.000 0.000 0.000
Co1 0.000 0.000 0.500
Hg1 0.000 0.500 0.500
Os1 0.500 0.500 0.000
```

Properties
Calculated formation energy ... 5.474 eV/f.u.
Calculated density ... 12.00 g/cm³

[5]
# CoHgP

A relaxed CoHgP crystal (PBE, Alexandria).

Geometry as CIF:
```
data_CoHgP
_cell_length_a 11.817
_cell_length_b 3.077
_cell_length_c 6.618
_cell_angle_alpha 90.00
_cell_angle_beta 122.64
_cell_angle_gamma 90.00
_symmetry_space_group_name_H-M 'C 1 m 1'
_symmetry_Int_Tables_number 8
_symmetry_space_group_name_Hall 'C -2y'
loop_
_atom_site_label
_atom_site_fract_x
_atom_site_fract_y
_atom_site_fract_z
Co1 0.000 0.000 0.000
Co2 0.157 0.000 0.483
Hg1 0.078 0.500 0.727
Hg2 0.378 0.500 0.241
P1 0.170 0.500 0.269
P2 0.356 0.000 0.793
```

Properties
Calculated formation energy ... -0.219 eV/f.u.
Calculated density ... 9.52 g/cm³

[6]
# CoHgP

A relaxed CoHgP crystal (PBE, Alexandria).

Geometry as CIF:
```
data_CoHgP
_cell_length_a 3.7640
_cell_length_b 3.7640
_cell_length_c 4.0011
_cell_angle_alpha 90.00
_cell_angle_beta 90.00
_cell_angle_gamma 120.00
_symmetry_space_group_name_H-M 'P -6 m 2'
_symmetry_Int_Tables_number 187
_symmetry_space_group_name_Hall 'P -6 2'
loop_
_atom_site_label
_atom_site_fract_x
_atom_site_fract_y
_atom_site_fract_z
Co1 0.0000 0.0000 0.0000
Hg1 0.3333 0.6667 0.5000
P1 0.6667 0.3333 0.0000
```

Properties
Calculated formation energy ... 0.434 eV/f.u.
Calculated density ... 9.83 g/cm³